Sm4Zn2Sn | PBE | optimized geometry

Calculated values
Total magnetic moment: 0.00 μB/f.u.
Total energy: -3.916 eV per atom
Formation energy: -27.4 kJ per mole of atoms
Symmetry: No. 166

a = 5.1537 Å, b = 5.1537 Å, c = 8.9045 Å
α = 73.18°, β = 73.18°, γ = 60.00°
Fractional coordinates of all 7 atoms:
Sn: 0.0000 0.0000 0.0000
Sm: 0.8684 0.8684 0.3949
Sm: 0.6158 0.6158 0.1525
Sm: 0.1316 0.1316 0.6051
Sm: 0.3842 0.3842 0.8475
Zn: 0.7492 0.7492 0.7525
Zn: 0.2508 0.2508 0.2475

=====

Sm2Zn2Sn | PBE | optimized geometry

Calculated values
Total magnetic moment: 0.00 μB/f.u.
Total energy: -3.698 eV per atom
Formation energy: -48.3 kJ per mole of atoms
Symmetry: No. 127

a = 7.2327 Å, b = 7.2327 Å, c = 9.1514 Å
α = 90.00°, β = 90.00°, γ = 90.00°
Fractional coordinates of all 20 atoms:
Zn: 0.6227 0.1227 0.2500
Zn: 0.8773 0.6227 0.7500
Zn: 0.3773 0.8773 0.7500
Zn: 0.3773 0.8773 0.2500
Zn: 0.1227 0.3773 0.2500
Zn: 0.8773 0.6227 0.2500
Zn: 0.1227 0.3773 0.7500
Zn: 0.6227 0.1227 0.7500
Sm: 0.1733 0.6734 0.0000
Sm: 0.6733 0.8266 0.5000
Sm: 0.1734 0.6733 0.5000
Sm: 0.6734 0.8267 0.0000
Sm: 0.8267 0.3266 0.0000
Sm: 0.3266 0.1733 0.0000
Sm: 0.8266 0.3267 0.5000
Sm: 0.3267 0.1734 0.5000
Sn: 0.0000 0.0000 0.7499
Sn: 0.5000 0.5000 0.7501
Sn: 0.5000 0.5000 0.2499
Sn: 0.0000 0.0000 0.2501

=====

SmZn2Sn | PBE | optimized geometry

Calculated values
Total magnetic moment: 0.00 μB/f.u.
Total energy: -3.123 eV per atom
Formation energy: -29.5 kJ per mole of atoms
Symmetry: No. 166

a = 4.4775 Å, b = 4.4775 Å, c = 5.8008 Å
α = 67.30°, β = 67.30°, γ = 60.00°
Fractional coordinates of all 4 atoms:
Sm: 0.5000 0.5000 0.5000
Sn: 0.0000 0.0000 0.0000
Zn: 0.2686 0.2686 0.1943
Zn: 0.7314 0.7314 0.8057

=====

Sm4ZnSn | PBE | optimized geometry

Calculated values
Total magnetic moment: 0.00 μB/f.u.
Total energy: -4.235 eV per atom
Formation energy: -20.2 kJ per mole of atoms
Symmetry: No. 63

a = 5.5556 Å, b = 6.4610 Å, c = 10.8029 Å
α = 90.00°, β = 104.90°, γ = 90.00°
Fractional coordinates of all 12 atoms:
Sm: 0.4433 0.8223 0.8865
Sm: 0.5567 0.3223 0.1135
Sm: 0.7040 0.5691 0.4080
Sm: 0.8912 0.3223 0.7823
Sm: 0.2959 0.5753 0.5919
Sm: 0.7041 0.0753 0.4081
Sm: 0.2960 0.0691 0.5920
Sm: 0.1088 0.8223 0.2177
Sn: 0.8479 0.8222 0.6958
Sn: 0.1521 0.3222 0.3042
Zn: 0.4191 0.3222 0.8382
Zn: 0.5809 0.8222 0.1618

=====

Sm4Zn2Sn | PBE | optimized geometry

Calculated values
Total magnetic moment: 0.00 μB/f.u.
Total energy: -3.842 eV per atom
Formation energy: -20.2 kJ per mole of atoms
Symmetry: No. 166

a = 5.0237 Å, b = 5.0237 Å, c = 9.8821 Å
α = 75.27°, β = 75.27°, γ = 60.00°
Fractional coordinates of all 7 atoms:
Sm: 0.6176 0.6176 0.1471
Sm: 0.8013 0.8013 0.5960
Sm: 0.3824 0.3824 0.8529
Sm: 0.1987 0.1987 0.4040
Zn: 0.9032 0.9032 0.2904
Zn: 0.0968 0.0968 0.7096
Sn: 0.0000 0.0000 0.0000

=====

Sm2Zn5Sn | PBE | optimized geometry

Calculated values
Total magnetic moment: 0.00 μB/f.u.
Total energy: -2.917 eV per atom
Formation energy: -42.5 kJ per mole of atoms
Symmetry: No. 63

a = 4.4222 Å, b = 8.5125 Å, c = 9.0535 Å
α = 90.00°, β = 90.00°, γ = 105.06°
Fractional coordinates of all 16 atoms:
Zn: 0.1864 0.3728 0.8911
Zn: 0.8136 0.6272 0.1089
Zn: 0.3439 0.6878 0.9824
Zn: 0.3929 0.7858 0.2500
Zn: 0.1864 0.3728 0.6089
Zn: 0.6071 0.2142 0.7500
Zn: 0.3439 0.6878 0.5176
Zn: 0.6561 0.3122 0.4824
Zn: 0.8136 0.6272 0.3911
Zn: 0.6561 0.3122 0.0176
Sm: 0.2040 0.4081 0.2500
Sm: 0.7960 0.5919 0.7500
Sm: 0.0000 0.0000 0.5000
Sm: 0.0000 0.0000 0.0000
Sn: 0.4465 0.8930 0.7500
Sn: 0.5535 0.1070 0.2500

=====

Sm4ZnSn3 | PBE | optimized geometry

Calculated values
Total magnetic moment: 0.31 μB/f.u.
Total energy: -4.669 eV per atom
Formation energy: -62.6 kJ per mole of atoms
Symmetry: No. 25

a = 4.5228 Å, b = 4.3645 Å, c = 11.5608 Å
α = 90.00°, β = 90.00°, γ = 90.00°
Fractional coordinates of all 8 atoms:
Sm: 0.5000 0.0000 0.6382
Sm: 0.5000 0.5000 0.3562
Sm: 0.0000 0.5000 0.8659
Sm: 0.0000 0.0000 0.1360
Sn: 0.5000 0.0000 0.9225
Sn: 0.0000 0.5000 0.5909
Sn: 0.0000 0.0000 0.4107
Zn: 0.5000 0.5000 0.0796

=====

Sm3ZnSn3 | PBE | optimized geometry

Calculated values
Total magnetic moment: 0.00 μB/f.u.
Total energy: -4.598 eV per atom
Formation energy: -65.4 kJ per mole of atoms
Symmetry: No. 12

a = 4.5293 Å, b = 6.2160 Å, c = 14.5618 Å
α = 83.09°, β = 81.05°, γ = 68.63°
Fractional coordinates of all 14 atoms:
Zn: 0.2255 0.9293 0.6197
Zn: 0.7745 0.0707 0.3803
Sm: 0.6015 0.7180 0.0790
Sm: 0.2649 0.2401 0.2300
Sm: 0.5189 0.3427 0.6195
Sm: 0.3985 0.2820 0.9210
Sm: 0.7351 0.7599 0.7700
Sm: 0.4811 0.6573 0.3805
Sn: 0.8761 0.1718 0.0759
Sn: 0.1474 0.2497 0.4555
Sn: 0.8526 0.7503 0.5445
Sn: 0.9881 0.7935 0.2303
Sn: 0.1239 0.8282 0.9241
Sn: 0.0119 0.2065 0.7697